1.
Ag2AuCl (PBE, optimized geometry); space group = I-42d, No. 122; formation energy (no corrections) = 0.106 eV per atom
1.0
-3.6088 -5.3422 -3.1841
2.5421 -4.6269 4.8817
-3.2794 -4.3438 2.8861
Au Ag Cl
2 4 2
Direct
0.0000 0.0000 0.0000
0.7500 0.2500 0.5000
0.6129 0.1250 0.2500
0.1371 0.6250 0.2500
0.3750 0.3871 0.7500
0.8750 0.8629 0.7500
0.5000 0.5000 0.0000
0.2500 0.7500 0.5000



2.
SrLiSn2 (PBE, optimized geometry); space group = P4/mmm, No. 123; ΔE_f = -0.42 eV per atom
1.0
-1.2147 -4.6468 -0.3299
4.2405 -0.9762 -1.8623
1.7306 -0.7605 4.3393
Sr Sn Li
1 2 1
Direct
0.5000 0.5000 0.5000
0.0000 0.0000 0.5000
0.0000 0.5000 0.0000
0.5000 0.0000 0.0000



3.
PrTmThMg (PBE, optimized geometry); space group = P4mm, No. 99; ΔE_f = -0.04 eV per atom
1.0
-1.8885 -0.4422 3.0408
-1.8927 -2.6443 -1.5600
6.2682 -6.2471 2.9844
Pr Tm Th Mg
1 1 1 1
Direct
0.0000 0.0000 0.0786
0.0000 0.0000 0.5609
0.5000 0.5000 0.8120
0.5000 0.5000 0.3332



4.
LuInPd2 (PBE, optimized geometry); space group = P4/mmm, No. 123; ΔE_f = -0.78 eV per atom
1.0
3.4327 0.0000 0.0000
0.0000 3.4327 0.0000
0.0000 0.0000 6.4950
Lu Pd In
1 2 1
Direct
0.5000 0.5000 0.5000
0.0000 0.0000 0.7540
0.0000 0.0000 0.2460
0.5000 0.5000 0.0000



5.
SrInFe2Si (PBE, optimized geometry); space group = P4/mmm, No. 123; formation energy (no corrections) = 1.904 eV per atom
1.0
4.9828 0.0000 0.0000
0.0000 5.5103 0.0000
0.0000 0.0000 4.9828
Sr Si Fe In
1 1 2 1
Direct
0.0000 0.0000 0.0000
0.0000 0.5000 0.0000
0.0000 0.0000 0.5000
0.5000 0.0000 0.0000
0.5000 0.5000 0.5000